[1]
Below is a relaxed ScNbRe2 crystal, with properties calculated at the GGA-PBE level.

Unit cell a=3.2075 b=4.5583 c=4.5583 alpha=90.00 beta=90.00 gamma=90.00
Atoms (fractional coordinates):
Re (0.0000, 0.0000, 0.5000)
Re (0.0000, 0.5000, 0.0000)
Sc (0.5000, 0.5000, 0.5000)
Nb (0.5000, 0.0000, 0.0000)

DFT total energy = -41.8 eV/cell
Formation energy from the elements = -0.11 eV per atom


[2]
Below is a relaxed ScNbRe crystal, with properties calculated at the GGA-PBE level.

Unit cell a=3.2577 b=3.2577 c=5.6428 alpha=106.78 beta=106.78 gamma=90.00
Atoms (fractional coordinates):
Sc (0.0087, 0.0087, 0.0174)
Nb (0.3122, 0.3122, 0.6244)
Re (0.6791, 0.6791, 0.3582)

DFT total energy = -29.2 eV/cell
Formation energy from the elements = -0.10 eV per atom


[3]
Below is a relaxed ScNb2Re crystal, with properties calculated at the GGA-PBE level.

Unit cell a=3.2118 b=4.6852 c=4.6852 alpha=90.00 beta=90.00 gamma=90.00
Atoms (fractional coordinates):
Sc (0.5000, 0.5000, 0.5000)
Nb (0.0000, 0.0000, 0.5000)
Nb (0.0000, 0.5000, 0.0000)
Re (0.5000, 0.0000, 0.0000)

DFT total energy = -38.8 eV/cell
Formation energy from the elements = 0.04 eV per atom


[4]
Below is a relaxed ScNb2Re crystal, with properties calculated at the GGA-PBE level.

Unit cell a=7.5146 b=7.5146 c=6.0145 alpha=51.34 beta=51.34 gamma=90.00
Atoms (fractional coordinates):
Sc (0.5000, 0.5000, 0.0000)
Sc (0.2500, 0.7500, 0.5000)
Re (0.7500, 0.2500, 0.5000)
Re (0.0000, 0.0000, 0.0000)
Nb (0.0839, 0.6250, 0.2500)
Nb (0.6661, 0.1250, 0.2500)
Nb (0.8750, 0.9161, 0.7500)
Nb (0.3750, 0.3339, 0.7500)

DFT total energy = -74.3 eV/cell
Formation energy from the elements = 0.44 eV per atom


[5]
Below is a relaxed ScNbRe crystal, with properties calculated at the GGA-PBE level.

Unit cell a=5.3418 b=5.4168 c=5.4168 alpha=61.77 beta=60.46 gamma=60.46
Atoms (fractional coordinates):
Nb (0.5000, 0.5000, 0.0000)
Nb (0.5000, 0.0000, 0.5000)
Sc (0.1213, 0.6287, 0.6287)
Sc (0.8787, 0.3713, 0.3713)
Re (0.5000, 0.0000, 0.0000)
Re (0.0000, 0.0000, 0.0000)

DFT total energy = -58.6 eV/cell
Formation energy from the elements = -0.15 eV per atom


[6]
Below is a relaxed ScNb4Re5 crystal, with properties calculated at the GGA-PBE level.

Unit cell a=3.2093 b=3.2093 c=16.1569 alpha=90.00 beta=90.00 gamma=90.00
Atoms (fractional coordinates):
Re (0.5000, 0.5000, 0.1077)
Re (0.5000, 0.5000, 0.8923)
Re (0.5000, 0.5000, 0.6970)
Re (0.5000, 0.5000, 0.3030)
Re (0.5000, 0.5000, 0.5000)
Nb (0.0000, 0.0000, 0.4001)
Nb (0.0000, 0.0000, 0.8001)
Nb (0.0000, 0.0000, 0.5999)
Nb (0.0000, 0.0000, 0.1999)
Sc (0.0000, 0.0000, 0.0000)

DFT total energy = -111.2 eV/cell
Formation energy from the elements = -0.23 eV per atom


[7]
Below is a relaxed ScNbRe2 crystal, with properties calculated at the GGA-PBE level.

Unit cell a=7.3131 b=7.3131 c=5.8445 alpha=51.27 beta=51.27 gamma=90.00
Atoms (fractional coordinates):
Sc (0.2500, 0.7500, 0.5000)
Sc (0.5000, 0.5000, 0.0000)
Re (0.6421, 0.1250, 0.2500)
Re (0.8750, 0.8921, 0.7500)
Re (0.3750, 0.3579, 0.7500)
Re (0.1079, 0.6250, 0.2500)
Nb (0.7500, 0.2500, 0.5000)
Nb (0.0000, 0.0000, 0.0000)

DFT total energy = -77.7 eV/cell
Formation energy from the elements = 0.61 eV per atom


[8]
Below is a relaxed ScNb2Re crystal, with properties calculated at the GGA-PBE level.

Unit cell a=4.6334 b=4.6334 c=4.6334 alpha=60.00 beta=60.00 gamma=60.00
Atoms (fractional coordinates):
Sc (0.0000, 0.0000, 0.0000)
Nb (0.7500, 0.7500, 0.7500)
Nb (0.2500, 0.2500, 0.2500)
Re (0.5000, 0.5000, 0.5000)

DFT total energy = -39.0 eV/cell
Formation energy from the elements = -0.03 eV per atom


[9]
Below is a relaxed ScNbRe crystal, with properties calculated at the GGA-PBE level.

Unit cell a=5.1995 b=5.1995 c=5.5121 alpha=106.02 beta=106.02 gamma=114.52
Atoms (fractional coordinates):
Re (0.2500, 0.7500, 0.5000)
Re (0.7500, 0.2500, 0.5000)
Nb (0.8269, 0.8269, 0.6538)
Nb (0.1731, 0.1731, 0.3462)
Sc (0.3259, 0.6741, 0.0000)
Sc (0.6741, 0.3259, 0.0000)

DFT total energy = -57.8 eV/cell
Formation energy from the elements = -0.01 eV per atom


[10]
Below is a relaxed Sc2Nb2Re crystal, with properties calculated at the GGA-PBE level.

Unit cell a=6.5350 b=6.5350 c=4.8539 alpha=90.00 beta=90.00 gamma=90.00
Atoms (fractional coordinates):
Nb (0.8565, 0.6435, 0.0000)
Nb (0.6435, 0.1435, 0.0000)
Nb (0.3565, 0.8565, 0.0000)
Nb (0.1435, 0.3565, 0.0000)
Re (0.0000, 0.0000, 0.0000)
Re (0.5000, 0.5000, 0.0000)
Sc (0.1700, 0.6700, 0.5000)
Sc (0.6700, 0.8300, 0.5000)
Sc (0.3300, 0.1700, 0.5000)
Sc (0.8300, 0.3300, 0.5000)

DFT total energy = -89.0 eV/cell
Formation energy from the elements = 0.15 eV per atom


[11]
Below is a relaxed ScNbRe2 crystal, with properties calculated at the GGA-PBE level.

Unit cell a=3.2156 b=3.2156 c=6.5207 alpha=90.00 beta=90.00 gamma=90.00
Atoms (fractional coordinates):
Re (0.0000, 0.0000, 0.2369)
Re (0.0000, 0.0000, 0.7631)
Nb (0.5000, 0.5000, 0.0000)
Sc (0.5000, 0.5000, 0.5000)

DFT total energy = -41.8 eV/cell
Formation energy from the elements = -0.12 eV per atom


[12]
Below is a relaxed ScTaNbRe crystal, with properties calculated at the GGA-PBE level.

Unit cell a=4.6381 b=4.6381 c=4.6381 alpha=60.00 beta=60.00 gamma=60.00
Atoms (fractional coordinates):
Ta (0.2500, 0.2500, 0.2500)
Nb (0.0000, 0.0000, 0.0000)
Re (0.5000, 0.5000, 0.5000)
Sc (0.7500, 0.7500, 0.7500)

DFT total energy = -40.7 eV/cell
Formation energy from the elements = 0.00 eV per atom


Question: Which formula does entry 7 have?
Answer: ScNbRe2


Question: Which value of formation energy from the elements does entry 4 give?
Answer: 0.44 eV per atom


Question: Which value of formation energy from the elements does entry 12 give?
Answer: 0.00 eV per atom